Density functional theory data (PBE) for MnV4Ru after structural relaxation.

abc: 4.2249 3.7715 5.7898
angles: 90.00 98.13 90.00
With the nearest neighbours (Å) after each atom.
Element x y z (fractional)
Mn 0.0000 0.0000 0.0000  6 V 2.29-2.34
V 0.0273 0.5000 0.7630  2 Mn 2.34, 1 Ru 2.51
V 0.4883 0.0000 0.2294  1 Mn 2.29, 2 Ru 2.45
V 0.5117 0.0000 0.7706  1 Mn 2.29, 2 Ru 2.45
V 0.9727 0.5000 0.2370  2 Mn 2.34, 1 Ru 2.51
Ru 0.5000 0.5000 0.5000  8 V 2.45-2.68

The calculation puts the calculated total energy at -8.80 eV/atom. The space group is No. 10. The energy above the most stable polymorph in this dataset comes out at 622 meV/atom. Its energy of formation is 0.350 eV per atom. The spin magnetization comes out at 0.00 μB/cell.

=====

Density functional theory data (PBE) for MnV5Ru4 after structural relaxation.

abc: 2.9635 2.9635 15.1328
angles: 90.00 90.00 90.00
With the nearest neighbours (Å) after each atom.
Element x y z (fractional)
Mn 0.0000 0.0000 0.0000  8 V 2.50
V 0.5000 0.5000 0.0903  4 Mn 2.50, 4 Ru 2.62, 1 V 2.73
V 0.5000 0.5000 0.2958  8 Ru 2.60-2.61
V 0.5000 0.5000 0.5000  8 Ru 2.60
V 0.5000 0.5000 0.7042  8 Ru 2.60-2.61
V 0.5000 0.5000 0.9097  4 Mn 2.50, 4 Ru 2.62, 1 V 2.73
Ru 0.0000 0.0000 0.1940  8 V 2.60-2.62
Ru 0.0000 0.0000 0.3988  8 V 2.60-2.61
Ru 0.0000 0.0000 0.6012  8 V 2.60-2.61
Ru 0.0000 0.0000 0.8060  8 V 2.60-2.62

The calculation puts the calculated total energy at -9.43 eV/atom. The space group is No. 123. Its energy of formation is -0.247 eV per atom. The spin magnetization comes out at 1.14 μB/cell.